# 1
! NaNbH2 | Alexandria | PBE | relaxed; values from VASP
! E above lowest polymorph ... 0.00 eV/f.u.
! Calculated volume ... 11.62 Å³/atom
! Fermi-level density of states ... 1.43 states/eV/cell
&SYSTEM
  ibrav = 0, nat = 4, ntyp = 3
/
ATOMIC_SPECIES
Na 22.99 Na.upf
Nb 92.91 Nb.upf
H 1.01 H.upf
CELL_PARAMETERS angstrom
1.534 0.886 5.701
-1.534 0.886 5.701
0.000 -1.772 5.701
ATOMIC_POSITIONS angstrom
Na 0.000 0.000 0.000
Nb 0.000 0.000 8.552
H 0.000 0.000 3.828
H 0.000 0.000 13.276

=====

# 2
! NpTiBr | Alexandria | PBE | relaxed; values from VASP
! Formation energy without anion corrections ... -0.3851 eV per atom
! Calculated volume ... 25.02 Å³/atom
! Fermi-level density of states ... 8.17 states/eV/cell
&SYSTEM
  ibrav = 0, nat = 6, ntyp = 3
/
ATOMIC_SPECIES
Np 237.00 Np.upf
Ti 47.87 Ti.upf
Br 79.90 Br.upf
CELL_PARAMETERS angstrom
9.776 -2.211 0.000
9.776 2.211 0.000
-0.554 0.000 3.474
ATOMIC_POSITIONS angstrom
Np 0.657 0.000 0.995
Np 18.341 0.000 2.478
Ti 8.411 0.000 0.673
Ti 10.587 0.000 2.801
Br 2.676 0.000 3.098
Br 16.323 0.000 0.376

=====

# 3
! InTcIN2 | Alexandria | PBE | relaxed; values from VASP
! Formation energy without anion corrections ... 1.9523 eV per atom
! E above lowest polymorph ... 5.64 eV/f.u.
! Calculated volume ... 22.71 Å³/atom
! Fermi-level density of states ... 3.96 states/eV/cell
&SYSTEM
  ibrav = 0, nat = 5, ntyp = 4
/
ATOMIC_SPECIES
In 114.82 In.upf
Tc 98.00 Tc.upf
I 126.90 I.upf
N 14.01 N.upf
CELL_PARAMETERS angstrom
4.210 0.000 0.000
0.000 4.210 0.000
0.000 0.000 6.405
ATOMIC_POSITIONS angstrom
In 0.000 0.000 0.000
Tc 2.105 2.105 3.202
I 0.000 0.000 3.202
N 0.000 2.105 0.000
N 2.105 0.000 0.000

=====

# 4
! Li5Mg | Alexandria | PBE | relaxed; values from VASP
! Energy relative to the elements ... -0.019 eV/atom
! E above lowest polymorph ... 0.01 eV/f.u.
! Calculated volume ... 20.14 Å³/atom
! Fermi-level density of states ... 2.70 states/eV/cell
&SYSTEM
  ibrav = 0, nat = 6, ntyp = 2
/
ATOMIC_SPECIES
Li 6.94 Li.upf
Mg 24.30 Mg.upf
CELL_PARAMETERS angstrom
4.749 -2.167 0.000
4.749 2.167 0.000
-1.801 0.000 5.871
ATOMIC_POSITIONS angstrom
Li 0.000 0.000 0.000
Li 2.835 0.000 0.991
Li 1.971 0.000 3.916
Li 5.726 0.000 1.955
Li 4.862 0.000 4.880
Mg -0.901 0.000 2.935

=====

# 5
! RbNaSnAu | Alexandria | PBE | relaxed; values from VASP
! Energy relative to the elements ... -0.273 eV/atom
! Calculated volume ... 33.64 Å³/atom
! Fermi-level density of states ... 2.32 states/eV/cell
&SYSTEM
  ibrav = 0, nat = 4, ntyp = 4
/
ATOMIC_SPECIES
Rb 85.47 Rb.upf
Na 22.99 Na.upf
Sn 118.71 Sn.upf
Au 196.97 Au.upf
CELL_PARAMETERS angstrom
2.452 1.416 6.453
-2.452 1.416 6.453
0.000 -2.832 6.453
ATOMIC_POSITIONS angstrom
Rb 0.000 0.000 0.000
Na 0.000 0.000 3.856
Sn 0.000 0.000 8.954
Au 0.000 0.000 15.521

=====

# 6
! CdNiP2 | Alexandria | PBE | relaxed; values from VASP
! Energy relative to the elements ... 0.560 eV/atom
! Calculated volume ... 15.73 Å³/atom
! Fermi-level density of states ... 2.22 states/eV/cell
&SYSTEM
  ibrav = 0, nat = 4, ntyp = 3
/
ATOMIC_SPECIES
Cd 112.41 Cd.upf
Ni 58.69 Ni.upf
P 30.97 P.upf
CELL_PARAMETERS angstrom
0.000 3.157 3.157
3.157 0.000 3.157
3.157 3.157 0.000
ATOMIC_POSITIONS angstrom
Cd 0.000 0.000 0.000
Ni 1.579 1.579 1.579
P 3.157 3.157 3.157
P 4.736 4.736 4.736

=====

# 7
! ScFeAs2 | Alexandria | PBE | relaxed; values from VASP
! Energy relative to the elements ... -0.494 eV/atom
! E above lowest polymorph ... 0.25 eV/f.u.
! Calculated volume ... 16.84 Å³/atom
! Fermi-level density of states ... 1.15 states/eV/cell
&SYSTEM
  ibrav = 0, nat = 4, ntyp = 3
/
ATOMIC_SPECIES
Sc 44.96 Sc.upf
Fe 55.84 Fe.upf
As 74.92 As.upf
CELL_PARAMETERS angstrom
-1.547 1.813 6.006
1.547 -1.813 6.006
1.547 1.813 -6.006
ATOMIC_POSITIONS angstrom
Sc 0.000 0.000 0.000
Fe 1.547 0.000 2.875
As 0.000 0.000 4.711
As 0.000 1.813 2.027

=====

# 8
! NdTmHgPb | Alexandria | PBE | relaxed; values from VASP
! Energy relative to the elements ... -0.460 eV/atom
! E above lowest polymorph ... 0.00 eV/f.u.
! Calculated volume ... 27.66 Å³/atom
! Fermi-level density of states ... 3.15 states/eV/cell
&SYSTEM
  ibrav = 0, nat = 4, ntyp = 4
/
ATOMIC_SPECIES
Nd 144.24 Nd.upf
Tm 168.93 Tm.upf
Hg 200.59 Hg.upf
Pb 207.20 Pb.upf
CELL_PARAMETERS angstrom
3.836 0.000 0.000
0.000 3.836 0.000
0.000 0.000 7.521
ATOMIC_POSITIONS angstrom
Nd 0.000 0.000 0.000
Tm 0.000 0.000 3.899
Hg 1.918 1.918 5.538
Pb 1.918 1.918 2.039

=====

# 9
! Er4TmP5 | Alexandria | PBE | relaxed; values from VASP
! Energy relative to the elements ... -1.613 eV/atom
! Calculated volume ... 22.04 Å³/atom
! Fermi-level density of states ... 0.64 states/eV/cell
&SYSTEM
  ibrav = 0, nat = 10, ntyp = 3
/
ATOMIC_SPECIES
Er 167.26 Er.upf
Tm 168.93 Tm.upf
P 30.97 P.upf
CELL_PARAMETERS angstrom
-4.433 4.433 2.804
4.433 -4.433 2.804
4.433 4.433 -2.804
ATOMIC_POSITIONS angstrom
Er 2.660 0.885 0.000
Er 3.548 -1.773 2.804
Er 0.885 6.206 0.000
Er 1.773 3.548 2.804
Tm 0.000 0.000 2.804
P 0.000 0.000 0.000
P 5.318 1.779 0.000
P 1.779 3.548 0.000
P 2.654 0.885 2.804
P -0.885 2.654 2.804

=====

# 10
! CdCuRh | Alexandria | PBE | relaxed; values from VASP
! Energy relative to the elements ... 0.088 eV/atom
! E above lowest polymorph ... 0.21 eV/f.u.
! Calculated volume ... 15.71 Å³/atom
! Fermi-level density of states ... 3.41 states/eV/cell
&SYSTEM
  ibrav = 0, nat = 3, ntyp = 3
/
ATOMIC_SPECIES
Cd 112.41 Cd.upf
Cu 63.55 Cu.upf
Rh 102.91 Rh.upf
CELL_PARAMETERS angstrom
4.349 0.000 0.000
-2.175 3.767 0.000
0.000 0.000 2.877
ATOMIC_POSITIONS angstrom
Cd 0.000 0.000 0.000
Cu 0.000 2.511 1.047
Rh 2.175 1.256 1.586

=====

# 11
! Tl2Cr2InSe6 | Alexandria | PBE | relaxed; values from VASP
! Formation energy without anion corrections ... -0.4750 eV per atom
! Calculated volume ... 26.12 Å³/atom
! Fermi-level density of states ... 3.85 states/eV/cell
&SYSTEM
  ibrav = 0, nat = 11, ntyp = 4
/
ATOMIC_SPECIES
Tl 204.38 Tl.upf
Cr 52.00 Cr.upf
In 114.82 In.upf
Se 78.96 Se.upf
CELL_PARAMETERS angstrom
3.301 -5.827 0.000
3.301 5.827 0.000
-2.120 0.000 7.470
ATOMIC_POSITIONS angstrom
Tl 3.301 3.989 0.000
Tl 3.301 -3.989 0.000
Cr 2.241 1.993 3.735
Cr 2.241 -1.993 3.735
In -1.060 0.000 3.735
Se 0.121 2.099 5.151
Se 1.310 0.000 2.356
Se 0.121 -2.099 5.151
Se 4.360 2.099 2.320
Se 3.172 0.000 5.114
Se 4.360 -2.099 2.320

=====

# 12
! Tb7Dy2Y | Alexandria | PBE | relaxed; values from VASP
! Energy relative to the elements ... 0.685 eV/atom
! E above lowest polymorph ... 6.72 eV/f.u.
! Calculated volume ... 39.25 Å³/atom
! Fermi-level density of states ... 13.09 states/eV/cell
&SYSTEM
  ibrav = 0, nat = 10, ntyp = 3
/
ATOMIC_SPECIES
Tb 158.93 Tb.upf
Dy 162.50 Dy.upf
Y 88.91 Y.upf
CELL_PARAMETERS angstrom
4.350 -8.474 0.000
4.350 8.474 0.000
0.000 0.000 5.324
ATOMIC_POSITIONS angstrom
Tb 0.000 0.000 0.000
Tb 2.798 1.873 0.000
Tb 4.350 3.403 2.662
Tb 2.798 -1.873 0.000
Tb 5.902 1.873 0.000
Tb 4.350 -3.403 2.662
Tb 5.902 -1.873 0.000
Dy 4.350 5.041 0.000
Dy 4.350 -5.041 0.000
Y 4.350 0.000 2.662

=====

# 13
! FeHI3 | Alexandria | PBE | relaxed; values from VASP
! E above lowest polymorph ... 0.00 eV/f.u.
! Calculated volume ... 38.36 Å³/atom
! Fermi-level density of states ... 1.26 states/eV/cell
&SYSTEM
  ibrav = 0, nat = 10, ntyp = 3
/
ATOMIC_SPECIES
Fe 55.84 Fe.upf
H 1.01 H.upf
I 126.90 I.upf
CELL_PARAMETERS angstrom
7.120 0.000 0.000
3.044 6.933 0.000
2.387 1.702 7.769
ATOMIC_POSITIONS angstrom
Fe 1.009 0.164 0.739
Fe 11.543 8.472 7.031
H 5.880 3.218 6.037
H 6.672 5.418 1.732
I 1.863 2.249 1.875
I 3.854 1.829 5.959
I 5.113 4.781 1.750
I 7.438 3.855 6.019
I 8.697 6.807 1.810
I 10.688 6.386 5.895

=====

# 14
! NaY3Mg | Alexandria | PBE | relaxed; values from VASP
! Energy relative to the elements ... 0.835 eV/atom
! E above lowest polymorph ... 1.08 eV/f.u.
! Calculated volume ... 34.72 Å³/atom
! Fermi-level density of states ... 8.14 states/eV/cell
&SYSTEM
  ibrav = 0, nat = 5, ntyp = 3
/
ATOMIC_SPECIES
Na 22.99 Na.upf
Y 88.91 Y.upf
Mg 24.30 Mg.upf
CELL_PARAMETERS angstrom
5.578 0.000 0.000
0.000 5.578 0.000
0.000 0.000 5.578
ATOMIC_POSITIONS angstrom
Na 0.000 0.000 0.000
Y 0.000 0.000 2.789
Y 0.000 2.789 0.000
Y 2.789 0.000 0.000
Mg 2.789 2.789 2.789

=====

# 15
! Cs2PdN2 | Alexandria | PBE | relaxed; values from VASP
! Formation energy without anion corrections ... 0.0544 eV per atom
! Calculated volume ... 40.77 Å³/atom
! Fermi-level density of states ... 2.37 states/eV/cell
&SYSTEM
  ibrav = 0, nat = 5, ntyp = 3
/
ATOMIC_SPECIES
Cs 132.91 Cs.upf
Pd 106.42 Pd.upf
N 14.01 N.upf
CELL_PARAMETERS angstrom
4.581 -2.627 0.000
4.581 2.627 0.000
-0.185 0.000 8.469
ATOMIC_POSITIONS angstrom
Cs 1.447 0.000 2.545
Cs 7.530 0.000 5.923
Pd 4.488 0.000 4.234
N 4.121 0.000 0.330
N 4.856 0.000 8.139

=====

# 16
! KMgIn2Ni | Alexandria | PBE | relaxed; values from VASP
! Energy relative to the elements ... -0.087 eV/atom
! Calculated volume ... 26.00 Å³/atom
! Fermi-level density of states ... 2.41 states/eV/cell
&SYSTEM
  ibrav = 0, nat = 5, ntyp = 4
/
ATOMIC_SPECIES
K 39.10 K.upf
Mg 24.30 Mg.upf
In 114.82 In.upf
Ni 58.69 Ni.upf
CELL_PARAMETERS angstrom
5.051 0.000 0.000
0.000 5.051 0.000
0.000 0.000 5.096
ATOMIC_POSITIONS angstrom
K 0.000 0.000 0.000
Mg 2.525 2.525 0.000
In 0.000 2.525 2.548
In 2.525 0.000 2.548
Ni 2.525 2.525 2.548

=====

# 17
! Rb2PuInBr8 | Alexandria | PBE | relaxed; values from VASP
! Formation energy without anion corrections ... -1.3304 eV per atom
! Calculated volume ... 40.50 Å³/atom
! Fermi-level density of states ... 10.58 states/eV/cell
&SYSTEM
  ibrav = 0, nat = 12, ntyp = 4
/
ATOMIC_SPECIES
Rb 85.47 Rb.upf
Pu 244.00 Pu.upf
In 114.82 In.upf
Br 79.90 Br.upf
CELL_PARAMETERS angstrom
7.178 0.000 0.000
0.355 7.667 0.000
0.007 0.006 8.831
ATOMIC_POSITIONS angstrom
Rb 0.006 0.002 2.149
Rb 7.533 7.672 6.682
Pu 3.769 3.837 4.416
In 3.766 3.834 0.000
Br 2.116 2.956 6.709
Br 2.110 2.958 2.125
Br 2.405 6.293 4.418
Br 2.582 6.162 8.827
Br 4.957 1.511 0.004
Br 5.134 1.380 4.413
Br 5.429 4.716 6.706
Br 5.423 4.718 2.122

=====

# 18
! HfNbIrPd | Alexandria | PBE | relaxed; values from VASP
! Energy relative to the elements ... -0.485 eV/atom
! Calculated volume ... 17.36 Å³/atom
! Fermi-level density of states ... 3.89 states/eV/cell
&SYSTEM
  ibrav = 0, nat = 4, ntyp = 4
/
ATOMIC_SPECIES
Hf 178.49 Hf.upf
Nb 92.91 Nb.upf
Ir 192.22 Ir.upf
Pd 106.42 Pd.upf
CELL_PARAMETERS angstrom
0.000 3.262 3.262
3.262 0.000 3.262
3.262 3.262 0.000
ATOMIC_POSITIONS angstrom
Hf 0.000 0.000 0.000
Nb 3.262 3.262 3.262
Ir 4.893 4.893 4.893
Pd 1.631 1.631 1.631

=====

# 19
! Y3Tm2Se6 | Alexandria | PBE | relaxed; values from VASP
! Formation energy without anion corrections ... -1.8488 eV per atom
! E above lowest polymorph ... 0.00 eV/f.u.
! Calculated volume ... 25.34 Å³/atom
! Fermi-level density of states ... 4.50 states/eV/cell
&SYSTEM
  ibrav = 0, nat = 11, ntyp = 3
/
ATOMIC_SPECIES
Y 88.91 Y.upf
Tm 168.93 Tm.upf
Se 78.96 Se.upf
CELL_PARAMETERS angstrom
3.504 -6.044 0.000
3.504 6.044 0.000
-2.331 0.000 6.580
ATOMIC_POSITIONS angstrom
Y 0.000 0.000 0.000
Y 3.504 1.992 0.000
Y 3.504 -1.992 0.000
Tm 2.339 4.045 3.290
Tm 2.339 -4.045 3.290
Se 1.182 1.996 1.696
Se 0.040 0.000 4.861
Se 1.182 -1.996 1.696
Se 3.496 1.996 4.884
Se 4.638 0.000 1.719
Se 3.496 -1.996 4.884

=====

# 20
! K2AcTe2O6 | Alexandria | PBE | relaxed; values from VASP
! Formation energy without anion corrections ... -1.7228 eV per atom
! Calculated volume ... 22.74 Å³/atom
! Fermi-level density of states ... 2.07 states/eV/cell
&SYSTEM
  ibrav = 0, nat = 11, ntyp = 4
/
ATOMIC_SPECIES
K 39.10 K.upf
Ac 227.00 Ac.upf
Te 127.60 Te.upf
O 16.00 O.upf
CELL_PARAMETERS angstrom
5.540 -3.195 0.000
5.540 3.195 0.000
-4.967 0.000 7.066
ATOMIC_POSITIONS angstrom
K -0.746 0.000 2.277
K 6.859 0.000 4.790
Ac 3.057 0.000 3.533
Te -0.635 0.000 5.846
Te 6.748 0.000 1.220
O 2.233 1.816 2.080
O 0.836 0.000 4.630
O 3.880 1.816 4.986
O 2.233 -1.816 2.080
O 5.277 0.000 2.436
O 3.880 -1.816 4.986

=====

# 21
! ZrPd3S | Alexandria | PBE | relaxed; values from VASP
! Formation energy without anion corrections ... -0.1282 eV per atom
! E above lowest polymorph ... 0.00 eV/f.u.
! Calculated volume ... 18.41 Å³/atom
! Fermi-level density of states ... 4.63 states/eV/cell
&SYSTEM
  ibrav = 0, nat = 5, ntyp = 3
/
ATOMIC_SPECIES
Zr 91.22 Zr.upf
Pd 106.42 Pd.upf
S 32.06 S.upf
CELL_PARAMETERS angstrom
4.515 0.000 0.000
0.000 4.515 0.000
0.000 0.000 4.515
ATOMIC_POSITIONS angstrom
Zr 0.000 0.000 0.000
Pd 0.000 2.258 2.258
Pd 2.258 0.000 2.258
Pd 2.258 2.258 0.000
S 2.258 2.258 2.258

=====

# 22
! BaTe2MoN | Alexandria | PBE | relaxed; values from VASP
! Formation energy without anion corrections ... -0.4437 eV per atom
! E above lowest polymorph ... 0.00 eV/f.u.
! Calculated volume ... 26.01 Å³/atom
! Fermi-level density of states ... 1.32 states/eV/cell
&SYSTEM
  ibrav = 0, nat = 5, ntyp = 4
/
ATOMIC_SPECIES
Ba 137.33 Ba.upf
Te 127.60 Te.upf
Mo 95.94 Mo.upf
N 14.01 N.upf
CELL_PARAMETERS angstrom
5.756 0.000 0.000
0.000 5.756 0.000
0.000 0.000 3.925
ATOMIC_POSITIONS angstrom
Ba 0.000 0.000 0.000
Te 0.000 2.878 1.962
Te 2.878 0.000 1.962
Mo 2.878 2.878 1.962
N 2.878 2.878 0.000

=====

# 23
! TaZnAs2 | Alexandria | PBE | relaxed; values from VASP
! Energy relative to the elements ... 0.037 eV/atom
! Calculated volume ... 19.04 Å³/atom
! Fermi-level density of states ... 1.32 states/eV/cell
&SYSTEM
  ibrav = 0, nat = 4, ntyp = 3
/
ATOMIC_SPECIES
Ta 180.95 Ta.upf
Zn 65.41 Zn.upf
As 74.92 As.upf
CELL_PARAMETERS angstrom
1.812 -2.424 0.000
1.812 2.424 0.000
0.000 0.000 8.669
ATOMIC_POSITIONS angstrom
Ta 0.000 0.000 0.000
Zn 0.000 0.000 4.335
As 1.812 0.000 1.923
As 1.812 0.000 6.746

=====

# 24
! KSb2Te | Alexandria | PBE | relaxed; values from VASP
! Formation energy without anion corrections ... 0.1000 eV per atom
! Calculated volume ... 31.34 Å³/atom
! Fermi-level density of states ... 2.82 states/eV/cell
&SYSTEM
  ibrav = 0, nat = 4, ntyp = 3
/
ATOMIC_SPECIES
K 39.10 K.upf
Sb 121.76 Sb.upf
Te 127.60 Te.upf
CELL_PARAMETERS angstrom
3.664 0.000 0.000
0.000 3.664 0.000
0.000 0.000 9.336
ATOMIC_POSITIONS angstrom
K 0.000 0.000 0.000
Sb 1.832 1.832 2.693
Sb 1.832 1.832 6.643
Te 0.000 0.000 4.668

=====

# 25
! CrMo2Rh | Alexandria | PBE | relaxed; values from VASP
! Energy relative to the elements ... 0.118 eV/atom
! E above lowest polymorph ... 0.16 eV/f.u.
! Calculated volume ... 14.86 Å³/atom
! Fermi-level density of states ... 3.72 states/eV/cell
&SYSTEM
  ibrav = 0, nat = 4, ntyp = 3
/
ATOMIC_SPECIES
Cr 52.00 Cr.upf
Mo 95.94 Mo.upf
Rh 102.91 Rh.upf
CELL_PARAMETERS angstrom
0.000 3.098 3.098
3.098 0.000 3.098
3.098 3.098 0.000
ATOMIC_POSITIONS angstrom
Cr 0.000 0.000 0.000
Mo 3.098 3.098 3.098
Mo 4.647 4.647 4.647
Rh 1.549 1.549 1.549

=====

# 26
! Cs2Hg2I3 | Alexandria | PBE | relaxed; values from VASP
! Formation energy without anion corrections ... -0.9009 eV per atom
! Calculated volume ... 46.68 Å³/atom
! Fermi-level density of states ... 0.89 states/eV/cell
&SYSTEM
  ibrav = 0, nat = 7, ntyp = 3
/
ATOMIC_SPECIES
Cs 132.91 Cs.upf
Hg 200.59 Hg.upf
I 126.90 I.upf
CELL_PARAMETERS angstrom
7.256 -2.370 0.000
7.256 2.370 0.000
-4.736 0.000 9.502
ATOMIC_POSITIONS angstrom
Cs -0.754 0.000 3.057
Cs 10.531 0.000 6.446
Hg -0.558 0.000 8.871
Hg 10.334 0.000 0.632
I 3.172 0.000 3.305
I 7.256 0.000 0.000
I 6.604 0.000 6.198